1.
{"formula": "Na2FeCl5", "functional": "PBE-GGA", "state": "relaxed", "lattice": [[2.608, -6.690, 0.000], [2.608, 6.690, 0.000], [0.000, 0.000, 12.633]], "species": ["Na", "Na", "Na", "Na", "Fe", "Fe", "Cl", "Cl", "Cl", "Cl", "Cl", "Cl", "Cl", "Cl", "Cl", "Cl"], "fractional_positions": [[0.156, 0.844, 0.573], [0.156, 0.844, 0.927], [0.844, 0.156, 0.073], [0.844, 0.156, 0.427], [0.175, 0.825, 0.250], [0.825, 0.175, 0.750], [0.054, 0.946, 0.121], [0.054, 0.946, 0.379], [0.298, 0.702, 0.750], [0.302, 0.698, 0.112], [0.302, 0.698, 0.388], [0.698, 0.302, 0.612], [0.698, 0.302, 0.888], [0.702, 0.298, 0.250], [0.946, 0.054, 0.621], [0.946, 0.054, 0.879]], "density_g_cm3": 2.103, "vol_a3_per_atom": 27.55, "magmom_total_mub_per_cell": 10.04, "e_above_lowest_polymorph_mev_per_atom": 40, "e_form_raw_ev_per_atom": -1.2143}

2.
{"formula": "Er2IrCl", "functional": "PBE-GGA", "state": "relaxed", "lattice": [[1.994, 1.151, 7.301], [-1.994, 1.151, 7.301], [0.000, -2.303, 7.301]], "species": ["Er", "Er", "Ir", "Cl"], "fractional_positions": [[0.233, 0.233, 0.233], [0.767, 0.767, 0.767], [0.500, 0.500, 0.500], [0.000, 0.000, 0.000]], "density_g_cm3": 9.282, "vol_a3_per_atom": 25.14, "magmom_total_mub_per_cell": 0.00, "e_above_lowest_polymorph_mev_per_atom": 0, "e_form_raw_ev_per_atom": -1.2090}

3.
{"formula": "SrLaPd4", "functional": "PBE-GGA", "state": "relaxed", "lattice": [[0.000, 3.949, 3.949], [3.949, 0.000, 3.949], [3.949, 3.949, 0.000]], "species": ["Sr", "La", "Pd", "Pd", "Pd", "Pd"], "fractional_positions": [[0.000, 0.000, 0.000], [0.250, 0.250, 0.250], [0.125, 0.625, 0.625], [0.625, 0.125, 0.625], [0.625, 0.625, 0.125], [0.625, 0.625, 0.625]], "density_g_cm3": 8.794, "vol_a3_per_atom": 20.52, "magmom_total_mub_per_cell": 0.00, "ef_ev_per_atom": -0.71}

4.
{"formula": "Ca4Cd5Rh2", "functional": "PBE-GGA", "state": "relaxed", "lattice": [[7.412, 0.000, 0.000], [0.000, 4.116, 0.000], [-0.892, 0.000, 9.249]], "species": ["Ca", "Ca", "Ca", "Ca", "Cd", "Cd", "Cd", "Cd", "Cd", "Rh", "Rh"], "fractional_positions": [[0.186, 0.000, 0.346], [0.215, 0.000, 0.937], [0.785, 0.000, 0.063], [0.814, 0.000, 0.654], [0.168, 0.500, 0.648], [0.448, 0.500, 0.168], [0.500, 0.500, 0.500], [0.552, 0.500, 0.832], [0.832, 0.500, 0.352], [0.069, 0.500, 0.139], [0.931, 0.500, 0.861]], "density_g_cm3": 5.463, "vol_a3_per_atom": 25.65, "magmom_total_mub_per_cell": 0.00, "ef_ev_per_atom": -0.34}

5.
{"formula": "Ba4OsCl", "functional": "PBE-GGA", "state": "relaxed", "lattice": [[0.000, 4.906, 4.906], [4.906, 0.000, 4.906], [4.906, 4.906, 0.000]], "species": ["Ba", "Ba", "Ba", "Ba", "Os", "Cl"], "fractional_positions": [[0.376, 0.376, 0.376], [0.376, 0.376, 0.872], [0.376, 0.872, 0.376], [0.872, 0.376, 0.376], [0.750, 0.750, 0.750], [0.000, 0.000, 0.000]], "density_g_cm3": 5.451, "vol_a3_per_atom": 39.35, "magmom_total_mub_per_cell": 0.51, "e_form_raw_ev_per_atom": 0.8499}